(1)
Ba8IrAu2, optimized geometry, DFT GGA-PBE; ΔH_f (0 K) = -31 kJ/mol of atoms; total magnetic moment = 0.00 Bohr magnetons per cell
1.0
7.663 -4.655 0.000
7.663 4.655 0.000
-0.147 0.000 7.942
Ba Ir Au
8 1 2
Direct
0.117 0.647 0.659
0.120 0.120 0.809
0.353 0.883 0.341
0.372 0.372 0.159
0.628 0.628 0.841
0.647 0.117 0.659
0.880 0.880 0.191
0.883 0.353 0.341
0.000 0.000 0.500
0.262 0.262 0.497
0.738 0.738 0.503


(2)
ErHfZnNi, optimized geometry, DFT GGA-PBE; ΔH_f (0 K) = -24 kJ/mol of atoms; total magnetic moment = 0.00 Bohr magnetons per cell
1.0
0.000 3.341 3.341
3.341 0.000 3.341
3.341 3.341 0.000
Er Hf Zn Ni
1 1 1 1
Direct
0.000 0.000 0.000
0.500 0.500 0.500
0.750 0.750 0.750
0.250 0.250 0.250


(3)
Li5Y, optimized geometry, DFT GGA-PBE; ΔH_f (0 K) = 7 kJ/mol of atoms; total magnetic moment = 0.35 Bohr magnetons per cell
1.0
3.513 0.000 0.000
0.000 3.513 0.000
0.000 0.000 10.712
Li Y
5 1
Direct
0.000 0.000 0.000
0.000 0.000 0.297
0.000 0.000 0.703
0.500 0.500 0.157
0.500 0.500 0.843
0.500 0.500 0.500


> The highest total magnetic moment belongs to which entry?

Li5Y


> Number 2 is which compound?

ErHfZnNi


> What is the formula in the second record?

ErHfZnNi


> Which of these has the lowest ΔH_f (0 K)?

Ba8IrAu2